Record 1
Computed, not measured: a relaxed structure of BaHgW2 at the GGA-PBE level of DFT.

* SG: Pmmm, No. 47
* DFT formation energy: 1.356 eV/atom
* mass density: 13212 kg/m3

a b c (Å): 2.9156 5.4294 5.6022
angles (deg): 90.00 90.00 90.00
With the nearest neighbours (Å) after each atom.
Fractional positions:
Ba 0.5000 0.0000 0.5000  2 Ba 2.92, 4 Hg 3.08, 4 W 3.16
W 0.5000 0.5000 0.0000  6 W 2.92-3.08, 4 Hg 3.16
Hg 0.0000 0.5000 0.5000  2 Hg 2.92, 4 Ba 3.08, 4 W 3.16
W 0.0000 0.0000 0.0000  6 W 2.92-3.08, 4 Ba 3.16

***

Record 2
Computed, not measured: a relaxed structure of BaHg3W at the GGA-PBE level of DFT.

* SG: Pm-3m, No. 221
* ΔE to the lowest computed polymorph: 0.0 kJ per mole of atoms
* DFT formation energy: 0.353 eV/atom
* mass density: 9955 kg/m3

a b c (Å): 5.3595 5.3595 5.3595
angles (deg): 90.00 90.00 90.00
With the nearest neighbours (Å) after each atom.
Fractional positions:
Hg 0.5000 0.0000 0.0000  2 W 2.68
Ba 0.5000 0.5000 0.5000  12 Hg 3.79
Hg 0.0000 0.5000 0.0000  2 W 2.68
Hg 0.0000 0.0000 0.5000  2 W 2.68
W 0.0000 0.0000 0.0000  6 Hg 2.68

***

Record 3
Computed, not measured: a relaxed structure of Ba2HgW at the GGA-PBE level of DFT.

* SG: Amm2, No. 38
* DFT formation energy: 0.719 eV/atom
* mass density: 7406 kg/m3

a b c (Å): 4.8326 5.0555 6.5545
angles (deg): 67.33 90.00 90.00
With the nearest neighbours (Å) after each atom.
Fractional positions:
W 0.5000 0.5755 0.7241  2 Hg 2.72
Ba 0.5000 0.2690 0.3369  3 W 3.45-3.71, 4 Hg 3.66
Hg 0.0000 0.6788 0.5173  2 W 2.72
Ba 0.0000 0.9767 0.9216  3 Hg 3.52-3.60, 4 W 3.70

***

Record 4
Computed, not measured: a relaxed structure of Ba2HgW at the GGA-PBE level of DFT.

* SG: R3m, No. 160
* DFT formation energy: 1.030 eV/atom
* mass density: 8581 kg/m3

a b c (Å): 11.5935 11.5935 11.5935
angles (deg): 17.83 17.83 17.83
With the nearest neighbours (Å) after each atom.
Fractional positions:
Ba 0.2339 0.2339 0.2339  3 Hg 3.45, 6 Ba 3.59
Ba 0.0193 0.0193 0.0193  3 W 3.28, 6 Ba 3.59
Hg 0.4866 0.4866 0.4866  3 W 2.91
W 0.7603 0.7603 0.7603  3 Hg 2.91

***

Record 5
Computed, not measured: a relaxed structure of BaHgW2 at the GGA-PBE level of DFT.

* SG: Pmm2, No. 25
* DFT formation energy: 0.584 eV/atom
* mass density: 12184 kg/m3

a b c (Å): 3.3954 3.3695 9.0568
angles (deg): 68.13 90.00 90.00
With the nearest neighbours (Å) after each atom.
Fractional positions:
Hg 0.5000 0.6972 0.8023  5 W 3.06-3.11, 4 Hg 3.37-3.40
W 0.5000 0.3344 0.1664  4 W 2.62
W 0.0000 0.9600 0.0396  4 W 2.62
Ba 0.0000 0.5084 0.4917  4 Ba 3.37-3.40, 4 Hg 3.54, 4 W 3.63

***

Record 6
Computed, not measured: a relaxed structure of BaHg2W at the GGA-PBE level of DFT.

* SG: P4/mmm, No. 123
* ΔE to the lowest computed polymorph: 21.5 kJ per mole of atoms
* DFT formation energy: 0.831 eV/atom
* mass density: 12389 kg/m3

a b c (Å): 5.5677 5.5677 3.1231
angles (deg): 90.00 90.00 90.00
With the nearest neighbours (Å) after each atom.
Fractional positions:
Hg 0.5000 0.5000 0.0000  2 Hg 3.12, 4 Ba 3.19, 4 W 3.19
W 0.5000 0.0000 0.5000  2 W 3.12, 8 Hg 3.19
Ba 0.0000 0.5000 0.5000  2 Ba 3.12, 8 Hg 3.19
Hg 0.0000 0.0000 0.0000  2 Hg 3.12, 4 Ba 3.19, 4 W 3.19

***

Record 7
Computed, not measured: a relaxed structure of BaHg2W at the GGA-PBE level of DFT.

* SG: Imm2, No. 44
* ΔE to the lowest computed polymorph: 6.6 kJ per mole of atoms
* DFT formation energy: 0.676 eV/atom
* mass density: 10602 kg/m3

a b c (Å): 8.0028 8.0028 8.0028
angles (deg): 156.99 145.54 41.84
With the nearest neighbours (Å) after each atom.
Fractional positions:
W 0.5144 0.5144 0.0000  6 Hg 2.87, 2 W 3.19
Hg 0.6739 0.1739 0.5000  2 W 2.87, 2 Hg 3.19
Hg 0.9977 0.9977 0.0000  4 W 2.87, 2 Hg 3.19
Ba 0.3140 0.8140 0.5000  2 Ba 3.19, 2 W 3.39, 4 Hg 3.54

***

Record 8
Computed, not measured: a relaxed structure of BaHgW2 at the GGA-PBE level of DFT.

* SG: P2/m, No. 10
* DFT formation energy: 1.299 eV/atom
* mass density: 12594 kg/m3

a b c (Å): 5.6394 3.0562 5.3992
angles (deg): 88.91 90.00 90.00
With the nearest neighbours (Å) after each atom.
Fractional positions:
Hg 0.5000 0.7500 0.7500  2 Hg 3.06, 4 Ba 3.08-3.13, 4 W 3.20
W 0.0000 0.8637 0.0212  1 W 2.55
Ba 0.5000 0.2500 0.2500  2 Ba 3.06, 4 Hg 3.08-3.13, 4 W 3.31
W 0.0000 0.6363 0.4788  1 W 2.55

***

Record 9
Computed, not measured: a relaxed structure of BaHg2W at the GGA-PBE level of DFT.

* SG: Immm, No. 71
* ΔE to the lowest computed polymorph: 19.5 kJ per mole of atoms
* DFT formation energy: 0.810 eV/atom
* mass density: 11118 kg/m3

a b c (Å): 6.5508 6.5508 6.5508
angles (deg): 150.90 127.28 61.35
With the nearest neighbours (Å) after each atom.
Fractional positions:
Hg 0.5451 0.5451 0.0000  2 W 2.84
Ba 0.2500 0.7500 0.5000  2 Ba 3.29, 4 W 3.34
Hg 0.9549 0.9549 0.0000  2 W 2.84
W 0.7500 0.2500 0.5000  4 Hg 2.84

***

Record 10
Computed, not measured: a relaxed structure of BaHg3W at the GGA-PBE level of DFT.

* SG: Pm-3m, No. 221
* ΔE to the lowest computed polymorph: 119.6 kJ per mole of atoms
* DFT formation energy: 1.592 eV/atom
* mass density: 5952 kg/m3

a b c (Å): 6.3619 6.3619 6.3619
angles (deg): 90.00 90.00 90.00
With the nearest neighbours (Å) after each atom.
Fractional positions:
Hg 0.0000 0.0000 0.5000  2 Ba 3.18
Ba 0.0000 0.0000 0.0000  6 Hg 3.18
Hg 0.5000 0.0000 0.0000  2 Ba 3.18
W 0.5000 0.5000 0.5000  12 Hg 4.50
Hg 0.0000 0.5000 0.0000  2 Ba 3.18

***

Record 11
Computed, not measured: a relaxed structure of Ba2HgW at the GGA-PBE level of DFT.

* SG: Imm2, No. 44
* DFT formation energy: 0.761 eV/atom
* mass density: 8290 kg/m3

a b c (Å): 6.8859 6.8859 6.8859
angles (deg): 147.27 131.01 60.17
With the nearest neighbours (Å) after each atom.
Fractional positions:
Ba 0.0315 0.0315 0.0000  4 Hg 3.57, 2 W 3.59, 4 Ba 3.70-3.88
Hg 0.4548 0.4548 0.0000  2 W 2.81
W 0.2845 0.7845 0.5000  2 Hg 2.81
Ba 0.7292 0.2292 0.5000  4 W 3.51, 4 Ba 3.70-3.88, 4 Hg 3.80-3.92

***

Record 12
Computed, not measured: a relaxed structure of BaHg2W at the GGA-PBE level of DFT.

* SG: P4/mmm, No. 123
* ΔE to the lowest computed polymorph: 29.4 kJ per mole of atoms
* DFT formation energy: 0.912 eV/atom
* mass density: 11326 kg/m3

a b c (Å): 4.8839 4.8821 4.4415
angles (deg): 90.00 90.00 90.00
With the nearest neighbours (Å) after each atom.
Fractional positions:
W 0.5000 0.0000 0.5000  8 Hg 3.30, 4 Ba 3.45
Hg 0.5000 0.5000 0.0000  4 W 3.30, 4 Ba 3.30, 4 Hg 3.45
Hg 0.0000 0.0000 0.0000  4 Ba 3.30, 4 W 3.30, 4 Hg 3.45
Ba 0.0000 0.5000 0.5000  8 Hg 3.30, 4 W 3.45

***

Record 13
Computed, not measured: a relaxed structure of BaHg2W at the GGA-PBE level of DFT.

* SG: I-4m2, No. 119
* ΔE to the lowest computed polymorph: 32.4 kJ per mole of atoms
* DFT formation energy: 0.944 eV/atom
* mass density: 10893 kg/m3

a b c (Å): 5.9863 5.9863 5.9863
angles (deg): 133.73 133.73 67.50
With the nearest neighbours (Å) after each atom.
Fractional positions:
Ba 0.7500 0.2500 0.5000  8 Hg 3.33-3.42, 4 W 3.42
W 0.5000 0.5000 0.0000  8 Hg 3.33-3.42, 4 Ba 3.42
Hg 0.0000 0.0000 0.0000  4 W 3.33, 4 Ba 3.42, 4 Hg 3.42
Hg 0.2500 0.7500 0.5000  4 Ba 3.33, 4 W 3.42, 4 Hg 3.42

***

Record 14
Computed, not measured: a relaxed structure of BaHgW2 at the GGA-PBE level of DFT.

* SG: Cmm2, No. 35
* DFT formation energy: 0.794 eV/atom
* mass density: 13025 kg/m3

a b c (Å): 3.0683 3.0683 10.3223
angles (deg): 90.00 90.00 112.23
With the nearest neighbours (Å) after each atom.
Fractional positions:
Hg 0.5000 0.5000 0.7848  2 W 2.99, 4 Hg 3.07
W 0.0000 0.0000 0.0222  2 W 2.53
W 0.5000 0.5000 0.2032  2 W 2.53
Ba 0.0000 0.0000 0.4899  6 Ba 3.07-3.42, 2 W 3.42

***

Record 15
Computed, not measured: a relaxed structure of BaHgW2 at the GGA-PBE level of DFT.

* SG: R-3m, No. 166
* DFT formation energy: 1.387 eV/atom
* mass density: 13505 kg/m3

a b c (Å): 11.1946 11.1946 11.1946
angles (deg): 15.45 15.45 15.45
With the nearest neighbours (Å) after each atom.
Fractional positions:
Ba 0.2500 0.2500 0.2500  6 Ba 3.01
W 0.0110 0.0110 0.0110  3 Hg 2.96, 6 W 3.01
W 0.4890 0.4890 0.4890  3 Hg 2.96, 6 W 3.01
Hg 0.7500 0.7500 0.7500  6 W 2.96, 6 Hg 3.01

***

Record 16
Computed, not measured: a relaxed structure of Ba2HgW at the GGA-PBE level of DFT.

* SG: I-42d, No. 122
* DFT formation energy: 1.324 eV/atom
* mass density: 7208 kg/m3

a b c (Å): 5.2721 5.2721 11.5443
angles (deg): 76.80 76.80 90.00
With the nearest neighbours (Å) after each atom.
Fractional positions:
Ba 0.1351 0.6250 0.2500  2 W 3.29, 2 Hg 3.33, 2 Ba 3.65
Ba 0.8750 0.8649 0.7500  2 W 3.29, 2 Hg 3.33, 2 Ba 3.65
W 0.2500 0.7500 0.5000  4 Ba 3.29
Ba 0.6149 0.1250 0.2500  2 W 3.29, 2 Hg 3.33, 2 Ba 3.65
W 0.5000 0.5000 0.0000  4 Ba 3.29
Ba 0.3750 0.3851 0.7500  2 W 3.29, 2 Hg 3.33, 2 Ba 3.65
Hg 0.7500 0.2500 0.5000  4 Ba 3.33
Hg 0.0000 0.0000 0.0000  4 Ba 3.33

***

Record 17
Computed, not measured: a relaxed structure of BaHgW2 at the GGA-PBE level of DFT.

* SG: P4/mmm, No. 123
* DFT formation energy: 1.582 eV/atom
* mass density: 12656 kg/m3

a b c (Å): 4.2238 4.2238 5.1891
angles (deg): 90.00 90.00 90.00
With the nearest neighbours (Å) after each atom.
Fractional positions:
Hg 0.0000 0.5000 0.5000  4 Ba 2.99
Ba 0.5000 0.0000 0.5000  4 Hg 2.99
W 0.5000 0.5000 0.0000  4 W 2.99
W 0.0000 0.0000 0.0000  4 W 2.99

***

Record 18
Computed, not measured: a relaxed structure of BaHg2W at the GGA-PBE level of DFT.

* SG: F-43m, No. 216
* ΔE to the lowest computed polymorph: 35.9 kJ per mole of atoms
* DFT formation energy: 0.980 eV/atom
* mass density: 10705 kg/m3

a b c (Å): 5.4114 5.4114 5.4114
angles (deg): 60.00 60.00 60.00
With the nearest neighbours (Å) after each atom.
Fractional positions:
Hg 0.0000 0.0000 0.0000  4 Hg 3.31, 4 W 3.31
Ba 0.5000 0.5000 0.5000  4 W 3.31, 4 Hg 3.31
W 0.7500 0.7500 0.7500  4 Ba 3.31, 4 Hg 3.31
Hg 0.2500 0.2500 0.2500  4 Ba 3.31, 4 Hg 3.31

***

Record 19
Computed, not measured: a relaxed structure of BaHg2W at the GGA-PBE level of DFT.

* SG: Cmmm, No. 65
* ΔE to the lowest computed polymorph: 20.3 kJ per mole of atoms
* DFT formation energy: 0.818 eV/atom
* mass density: 12460 kg/m3

a b c (Å): 7.6743 5.6260 3.1203
angles (deg): 89.99 66.02 124.70
With the nearest neighbours (Å) after each atom.
Fractional positions:
Ba 0.5000 0.5000 0.0000  2 Ba 3.12, 8 Hg 3.22
Hg 0.5000 0.0000 0.5000  2 Hg 3.12, 4 Ba 3.22, 4 W 3.22
Hg 0.0000 0.0000 0.0000  2 Hg 3.12, 4 W 3.22, 4 Ba 3.22
W 0.0000 0.5000 0.5000  2 W 3.12, 8 Hg 3.22

***

Record 20
Computed, not measured: a relaxed structure of BaHgW2 at the GGA-PBE level of DFT.

* SG: P1, No. 1
* DFT formation energy: 0.740 eV/atom
* mass density: 10402 kg/m3

a b c (Å): 4.3712 7.1975 4.3976
angles (deg): 107.70 119.60 90.16
With the nearest neighbours (Å) after each atom.
Fractional positions:
Ba 0.5076 0.5226 0.0169  3 Hg 3.59-3.60, 6 W 3.66-3.68
W 0.3049 0.9154 0.6093  3 W 2.53-2.54
Hg 0.7150 0.1452 0.4287  6 W 2.96-2.99
W 0.9725 0.9168 0.9451  3 W 2.53-2.54